Entry 1:
DFT (PBEsol) results for LiZnCd after structural relaxation.

CIF file:
```
data_LiZnCd
_symmetry_space_group_name_H-M 'P 3 m 1'
_symmetry_Int_Tables_number 156
_symmetry_space_group_name_Hall 'P 3 -2"'
_cell_length_a 4.5451
_cell_length_b 4.5451
_cell_length_c 2.7427
_cell_angle_alpha 90.00
_cell_angle_beta 90.00
_cell_angle_gamma 120.00
loop_
_atom_site_label
_atom_site_fract_x
_atom_site_fract_y
_atom_site_fract_z
Li1 0.0000 0.0000 0.0000
Zn1 0.3333 0.6667 0.3059
Cd1 0.6667 0.3333 0.6171
```

Energy above the lowest structure with this stoichiometry, eV per formula unit: 0.03


Entry 2:
DFT (PBEsol) results for Li2Zn2Cd after structural relaxation.

CIF file:
```
data_Li2Zn2Cd
_symmetry_space_group_name_H-M 'P 4/m b m'
_symmetry_Int_Tables_number 127
_symmetry_space_group_name_Hall '-P 4 2ab'
_cell_length_a 7.163
_cell_length_b 7.163
_cell_length_c 3.036
_cell_angle_alpha 90.00
_cell_angle_beta 90.00
_cell_angle_gamma 90.00
loop_
_atom_site_label
_atom_site_fract_x
_atom_site_fract_y
_atom_site_fract_z
Li1 0.170 0.330 0.000
Zn1 0.125 0.625 0.500
Cd1 0.000 0.000 0.500
```

Final energy, eV per formula unit: -9.0


Entry 3:
DFT (PBEsol) results for Li2ZnCd after structural relaxation.

CIF file:
```
data_Li2ZnCd
_symmetry_space_group_name_H-M 'P m m 2'
_symmetry_Int_Tables_number 25
_symmetry_space_group_name_Hall 'P 2 -2'
_cell_length_a 2.839
_cell_length_b 4.608
_cell_length_c 4.981
_cell_angle_alpha 90.00
_cell_angle_beta 90.00
_cell_angle_gamma 90.00
loop_
_atom_site_label
_atom_site_fract_x
_atom_site_fract_y
_atom_site_fract_z
Li1 0.000 0.000 0.000
Li2 0.000 0.500 0.326
Zn1 0.500 0.000 0.496
Cd1 0.500 0.500 0.818
```

Final energy, eV per formula unit: -7.4


Entry 4:
DFT (PBEsol) results for Li2ZnCd after structural relaxation.

CIF file:
```
data_Li2ZnCd
_symmetry_space_group_name_H-M 'C m m m'
_symmetry_Int_Tables_number 65
_symmetry_space_group_name_Hall '-C 2 2'
_cell_length_a 6.064
_cell_length_b 6.114
_cell_length_c 3.386
_cell_angle_alpha 90.00
_cell_angle_beta 90.00
_cell_angle_gamma 90.00
loop_
_atom_site_label
_atom_site_fract_x
_atom_site_fract_y
_atom_site_fract_z
Li1 0.250 0.250 0.000
Zn1 0.000 0.000 0.500
Cd1 0.000 0.500 0.500
```

Final energy, eV per formula unit: -7.4


Calculated DOS at the Fermi energy, 0.9, 2.3, 1.3, 2.0 states/eV/cell (same order as the records).
Calculated size of the total moment, 0.000, 0.000, 0.000, 0.000 μB per atom (same order as the records).